No. 1
The following is a DFT calculation (PBE) of a relaxed structure of KFe2Pt.

Final energy = -5.407 eV per atom
Crystal system = orthorhombic
DOS at the Fermi energy = 4.3 states/eV per cell

Cell lengths 5.8424, 5.8424, 5.8424 Å; angles 152.81, 127.02, 60.56 degrees
Fractional positions:
K1 0.0000 0.0000 0.0000
Fe1 0.2938 0.7938 0.5000
Fe2 0.4902 0.4902 0.0000
Pt1 0.7072 0.2072 0.5000

No. 2
The following is a DFT calculation (PBE) of a relaxed structure of KFe2Pt.

Final energy = -5.059 eV per atom
Crystal system = cubic
DOS at the Fermi energy = 5.1 states/eV per cell

Cell lengths 4.6243, 4.6243, 4.6243 Å; angles 60.00, 60.00, 60.00 degrees
Fractional positions:
K1 0.0000 0.0000 0.0000
Fe1 0.2500 0.2500 0.2500
Fe2 0.5000 0.5000 0.5000
Pt1 0.7500 0.7500 0.7500

No. 3
The following is a DFT calculation (PBE) of a relaxed structure of KFe2Pt.

Final energy = -5.157 eV per atom
Crystal system = tetragonal
DOS at the Fermi energy = 4.8 states/eV per cell

Cell lengths 4.8381, 4.8381, 2.8404 Å; angles 90.00, 90.00, 90.00 degrees
Fractional positions:
K1 0.0000 0.0000 0.0000
Fe1 0.0000 0.5000 0.5000
Fe2 0.5000 0.0000 0.5000
Pt1 0.5000 0.5000 0.0000

No. 4
The following is a DFT calculation (PBE) of a relaxed structure of KFe2Pt.

Final energy = -5.067 eV per atom
Crystal system = tetragonal
DOS at the Fermi energy = 5.9 states/eV per cell

Cell lengths 5.0880, 5.0880, 5.0880 Å; angles 132.42, 132.42, 69.57 degrees
Fractional positions:
K1 0.0000 0.0000 0.0000
Fe1 0.5000 0.5000 0.0000
Fe2 0.7500 0.2500 0.5000
Pt1 0.2500 0.7500 0.5000

Calculated total moment (μB per formula unit), listed in the same order as above: 5.99, 6.08, 6.02, 6.26
Calculated E_form (eV per atom), listed in the same order as above: 0.609, 0.957, 0.858, 0.949